[1]
A relaxed structure of KPaHg2Cl6. Source: Alexandria, functional PBE-GGA.

Space group   Fm-3m (225)
Final energy   -3.73 eV/atom

Unit cell a=8.2250 b=8.2250 c=8.2250 alpha=60.00 beta=60.00 gamma=60.00
Fractional coordinates of all 10 atoms:
K 0.0000 0.0000 0.0000
Pa 0.5000 0.5000 0.5000
Hg 0.2500 0.2500 0.2500
Hg 0.7500 0.7500 0.7500
Cl 0.2799 0.2799 0.7201
Cl 0.2799 0.7201 0.2799
Cl 0.2799 0.7201 0.7201
Cl 0.7201 0.2799 0.2799
Cl 0.7201 0.2799 0.7201
Cl 0.7201 0.7201 0.2799

***

[2]
A relaxed structure of K2PaHgCl6. Source: Alexandria, functional PBE-GGA.

Space group   R3 (146)
Final energy   -4.07 eV/atom

Unit cell a=8.6876 b=8.6876 c=8.6876 alpha=53.90 beta=53.90 gamma=53.90
Fractional coordinates of all 10 atoms:
K 0.0000 0.0000 0.0000
K 0.4732 0.4732 0.4732
Pa 0.8113 0.8113 0.8113
Hg 0.2993 0.2993 0.2993
Cl 0.0136 0.4497 0.7726
Cl 0.1736 0.8322 0.6468
Cl 0.4497 0.7726 0.0136
Cl 0.6468 0.1736 0.8322
Cl 0.7726 0.0136 0.4497
Cl 0.8322 0.6468 0.1736

***

[3]
A relaxed structure of KHg2PbCl8. Source: Alexandria, functional PBE-GGA.

Space group   P-1 (2)
Final energy   -2.55 eV/atom

Unit cell a=6.6708 b=6.9104 c=8.8846 alpha=82.02 beta=76.40 gamma=88.08
Fractional coordinates of all 12 atoms:
K 0.0000 0.0000 0.0000
Hg 0.4804 0.4875 0.2410
Hg 0.5196 0.5125 0.7590
Pb 0.0000 0.0000 0.5000
Cl 0.2142 0.8191 0.6999
Cl 0.2503 0.3473 0.4769
Cl 0.2589 0.8573 0.2548
Cl 0.2693 0.3836 0.9853
Cl 0.7307 0.6164 0.0147
Cl 0.7411 0.1427 0.7452
Cl 0.7497 0.6527 0.5231
Cl 0.7858 0.1809 0.3001

***

[4]
A relaxed structure of K2HgPbCl6. Source: Alexandria, functional PBE-GGA.

Space group   R3 (146)
Final energy   -3.03 eV/atom

Unit cell a=7.7330 b=7.7330 c=7.7330 alpha=58.78 beta=58.78 gamma=58.78
Fractional coordinates of all 10 atoms:
K 0.0000 0.0000 0.0000
K 0.4998 0.4998 0.4998
Hg 0.2193 0.2193 0.2193
Pb 0.7195 0.7195 0.7195
Cl 0.0704 0.8756 0.4384
Cl 0.3595 0.5541 0.9565
Cl 0.4384 0.0704 0.8756
Cl 0.5541 0.9565 0.3595
Cl 0.8756 0.4384 0.0704
Cl 0.9565 0.3595 0.5541

***

[5]
A relaxed structure of KHgPb2Cl8. Source: Alexandria, functional PBE-GGA.

Space group   P2/m (10)
Final energy   -2.97 eV/atom

Unit cell a=6.5807 b=8.8222 c=6.7762 alpha=90.00 beta=93.44 gamma=90.00
Fractional coordinates of all 12 atoms:
K 0.0000 0.0000 0.0000
Hg 0.0000 0.5000 0.0000
Pb 0.5000 0.2569 0.5000
Pb 0.5000 0.7431 0.5000
Cl 0.2205 0.2870 0.1687
Cl 0.2205 0.7130 0.1687
Cl 0.2810 0.5000 0.6655
Cl 0.2952 0.0000 0.6547
Cl 0.7048 0.0000 0.3453
Cl 0.7190 0.5000 0.3345
Cl 0.7795 0.2870 0.8313
Cl 0.7795 0.7130 0.8313

***

[6]
A relaxed structure of KHgPbCl6. Source: Alexandria, functional PBE-GGA.

Space group   P-31c (163)
Final energy   -2.78 eV/atom

Unit cell a=7.0862 b=7.0862 c=13.7262 alpha=90.00 beta=90.00 gamma=120.00
Fractional coordinates of all 18 atoms:
K 0.0000 0.0000 0.0000
K 0.0000 0.0000 0.5000
Hg 0.3333 0.6667 0.2500
Hg 0.6667 0.3333 0.7500
Pb 0.3333 0.6667 0.7500
Pb 0.6667 0.3333 0.2500
Cl 0.0032 0.3718 0.1360
Cl 0.0032 0.6314 0.3640
Cl 0.3686 0.3718 0.3640
Cl 0.3686 0.9968 0.1360
Cl 0.3718 0.0032 0.6360
Cl 0.3718 0.3686 0.8640
Cl 0.6282 0.6314 0.1360
Cl 0.6282 0.9968 0.3640
Cl 0.6314 0.0032 0.8640
Cl 0.6314 0.6282 0.6360
Cl 0.9968 0.3686 0.6360
Cl 0.9968 0.6282 0.8640

***

[7]
A relaxed structure of K2HgPdCl6. Source: Alexandria, functional PBE-GGA.

Space group   R-3m (166)
Final energy   -2.91 eV/atom

Unit cell a=13.4208 b=13.4208 c=13.4208 alpha=30.93 beta=30.93 gamma=30.93
Fractional coordinates of all 20 atoms:
K 0.1326 0.1326 0.1326
K 0.3018 0.3018 0.3018
K 0.6982 0.6982 0.6982
K 0.8674 0.8674 0.8674
Hg 0.4138 0.4138 0.4138
Hg 0.5862 0.5862 0.5862
Pd 0.0000 0.0000 0.0000
Pd 0.5000 0.5000 0.5000
Cl 0.1294 0.6257 0.6257
Cl 0.1999 0.1999 0.7123
Cl 0.1999 0.7123 0.1999
Cl 0.2877 0.8001 0.8001
Cl 0.3743 0.3743 0.8706
Cl 0.3743 0.8706 0.3743
Cl 0.6257 0.1294 0.6257
Cl 0.6257 0.6257 0.1294
Cl 0.7123 0.1999 0.1999
Cl 0.8001 0.2877 0.8001
Cl 0.8001 0.8001 0.2877
Cl 0.8706 0.3743 0.3743

***

[8]
A relaxed structure of KHg2PdCl8. Source: Alexandria, functional PBE-GGA.

Space group   P-1 (2)
Final energy   -2.53 eV/atom

Unit cell a=6.5672 b=6.7887 c=8.5959 alpha=71.78 beta=82.65 gamma=86.44
Fractional coordinates of all 12 atoms:
K 0.0000 0.0000 0.0000
Hg 0.4769 0.4515 0.2602
Hg 0.5231 0.5485 0.7398
Pd 0.0000 0.0000 0.5000
Cl 0.1098 0.7456 0.7349
Cl 0.1979 0.8366 0.3260
Cl 0.3154 0.2231 0.5060
Cl 0.4051 0.2728 0.9742
Cl 0.5949 0.7272 0.0258
Cl 0.6846 0.7769 0.4940
Cl 0.8021 0.1634 0.6740
Cl 0.8902 0.2544 0.2651